[1]
Material: As2PtRh
Method: DFT, GGA-PBE
State: relaxed

Computed properties:
D(E_F) in states/eV/cell: 11.98
Formation energy from the elements in eV per atom: -0.066
Electronic total energy in eV per atom: -5.74
Total moment in Bohr magnetons per cell: 0.0
E above lowest polymorph in meV per atom: 200.6

Structure (CIF):
```
data_As2PtRh
_symmetry_space_group_name_H-M 'F m -3 m'
_symmetry_Int_Tables_number 225
_symmetry_space_group_name_Hall '-F 4 2 3'
_cell_length_a 6.358
_cell_length_b 6.358
_cell_length_c 6.358
_cell_angle_alpha 90.00
_cell_angle_beta 90.00
_cell_angle_gamma 90.00
loop_
_atom_site_label
_atom_site_fract_x
_atom_site_fract_y
_atom_site_fract_z
_atom_site_occupancy
As1 0.250 0.250 0.250 1
Pt1 0.000 0.000 0.000 1
Rh1 0.000 0.000 0.500 1
```

***

[2]
Material: CsSc2SeN
Method: DFT, GGA-PBE
State: relaxed

Computed properties:
D(E_F) in states/eV/cell: 4.95
Electronic total energy in eV per atom: -3.66
Total moment in Bohr magnetons per cell: 0.0
Formation energy from raw total energies in kJ/mol of atoms: 135.89

Structure (CIF):
```
data_CsSc2SeN
_symmetry_space_group_name_H-M 'P 4/m m m'
_symmetry_Int_Tables_number 123
_symmetry_space_group_name_Hall '-P 4 2'
_cell_length_a 5.383
_cell_length_b 5.383
_cell_length_c 4.328
_cell_angle_alpha 90.00
_cell_angle_beta 90.00
_cell_angle_gamma 90.00
loop_
_atom_site_label
_atom_site_fract_x
_atom_site_fract_y
_atom_site_fract_z
_atom_site_occupancy
Cs1 0.000 0.000 0.000 1
Sc1 0.000 0.500 0.000 1
Se1 0.500 0.500 0.500 1
N1 0.000 0.000 0.500 1
```

***

[3]
Material: CaLaPuO6
Method: DFT, GGA-PBE
State: relaxed

Computed properties:
Electronic total energy in eV per atom: -8.53
Total moment in Bohr magnetons per cell: 2.0
Formation energy from raw total energies in kJ/mol of atoms: -276.40

Structure (CIF):
```
data_CaLaPuO6
_symmetry_space_group_name_H-M 'P -3 1 c'
_symmetry_Int_Tables_number 163
_symmetry_space_group_name_Hall '-P 3 2c'
_cell_length_a 5.7804
_cell_length_b 5.7804
_cell_length_c 9.8970
_cell_angle_alpha 90.00
_cell_angle_beta 90.00
_cell_angle_gamma 120.00
loop_
_atom_site_label
_atom_site_fract_x
_atom_site_fract_y
_atom_site_fract_z
_atom_site_occupancy
Ca1 0.3333 0.6667 0.2500 1
La1 0.0000 0.0000 0.0000 1
Pu1 0.3333 0.6667 0.7500 1
O1 0.0427 0.3746 0.6375 1
```

***

Question: What is the total moment in the third record?
Answer: 2.0 Bohr magnetons per cell